# 1
# Te8IrI5

An optimized crystal structure of Te8IrI5 (GGA-PBE, OQMD).

Results
**Calculated volume**: 1083.1 Å³ per cell
**E**: -3.134 eV per atom

Cell and atoms, written as POSCAR:
```
Te8IrI5
1.0
9.920 0.000 0.000
-0.445 10.510 0.000
-4.382 -2.607 10.388
Te Ir I
16 2 10
direct
0.051 0.358 0.272
0.067 0.439 0.879
0.077 0.811 0.982
0.209 0.227 0.002
0.298 0.804 0.331
0.306 0.438 0.227
0.395 0.521 0.821
0.446 0.677 0.074
0.554 0.323 0.926
0.605 0.479 0.179
0.694 0.562 0.773
0.702 0.196 0.669
0.791 0.773 0.998
0.923 0.189 0.018
0.933 0.561 0.121
0.949 0.642 0.728
0.193 0.625 0.105
0.807 0.375 0.895
0.029 0.936 0.299
0.208 0.626 0.488
0.305 0.857 0.863
0.396 0.282 0.577
0.419 0.014 0.258
0.581 0.986 0.742
0.604 0.718 0.423
0.695 0.143 0.137
0.792 0.374 0.512
0.971 0.064 0.701
```


# 2
# TmIr2I

An optimized crystal structure of TmIr2I (GGA-PBE, OQMD).

Results
**Calculated volume**: 170.3 Å³ per cell
**E**: -6.003 eV per atom

Cell and atoms, written as POSCAR:
```
TmIr2I
1.0
5.609 0.000 0.000
1.365 5.536 0.000
1.308 1.317 5.483
Tm Ir I
2 4 2
direct
0.198 0.211 0.026
0.802 0.789 0.974
0.300 0.172 0.523
0.348 0.747 0.863
0.652 0.253 0.137
0.700 0.828 0.477
0.206 0.665 0.337
0.794 0.335 0.663
```


# 3
# K4La6OsI14

An optimized crystal structure of K4La6OsI14 (GGA-PBE, OQMD).

Results
**Calculated volume**: 2290.0 Å³ per cell
**E**: -4.054 eV per atom

Cell and atoms, written as POSCAR:
```
K4La6OsI14
1.0
10.121 0.000 0.000
0.000 10.121 0.000
0.000 0.000 22.354
K La Os I
8 12 2 28
direct
0.169 0.331 0.250
0.169 0.331 0.750
0.331 0.831 0.250
0.331 0.831 0.750
0.669 0.169 0.250
0.669 0.169 0.750
0.831 0.669 0.250
0.831 0.669 0.750
0.000 0.000 0.128
0.000 0.000 0.872
0.092 0.730 0.000
0.230 0.592 0.500
0.270 0.092 0.000
0.408 0.230 0.500
0.500 0.500 0.372
0.500 0.500 0.628
0.592 0.770 0.500
0.730 0.908 0.000
0.770 0.408 0.500
0.908 0.270 0.000
0.000 0.000 0.000
0.500 0.500 0.500
0.000 0.000 0.277
0.000 0.000 0.723
0.093 0.300 0.500
0.103 0.693 0.146
0.103 0.693 0.854
0.193 0.603 0.354
0.193 0.603 0.646
0.200 0.407 0.000
0.300 0.907 0.500
0.307 0.103 0.146
0.307 0.103 0.854
0.397 0.193 0.354
0.397 0.193 0.646
0.407 0.800 0.000
0.500 0.500 0.223
0.500 0.500 0.777
0.593 0.200 0.000
0.603 0.807 0.354
0.603 0.807 0.646
0.693 0.897 0.146
0.693 0.897 0.854
0.700 0.093 0.500
0.800 0.593 0.000
0.807 0.397 0.354
0.807 0.397 0.646
0.897 0.307 0.146
0.897 0.307 0.854
0.907 0.700 0.500
```


# 4
# K2LiTcI6

An optimized crystal structure of K2LiTcI6 (GGA-PBE, OQMD).

Results
**Calculated volume**: 371.1 Å³ per cell
**ΔE to the lowest computed polymorph**: 0.026 eV per atom
**E**: -3.118 eV per atom

Cell and atoms, written as POSCAR:
```
K2LiTcI6
1.0
-4.035 4.035 5.698
4.035 -4.035 5.698
4.035 4.035 -5.698
K Li Tc I
2 1 1 6
direct
0.250 0.750 0.500
0.750 0.250 0.500
0.000 0.000 0.000
0.500 0.500 0.000
0.258 0.258 0.000
0.259 0.259 0.517
0.259 0.741 0.000
0.741 0.259 0.000
0.741 0.741 0.483
0.742 0.742 0.000
```


# 5
# K2LiTcI6

An optimized crystal structure of K2LiTcI6 (GGA-PBE, OQMD).

Results
**Calculated volume**: 363.9 Å³ per cell
**ΔE to the lowest computed polymorph**: 0.000 eV per atom
**E**: -3.144 eV per atom

Cell and atoms, written as POSCAR:
```
K2LiTcI6
1.0
-3.900 3.900 5.982
3.900 -3.900 5.982
3.900 3.900 -5.982
K Li Tc I
2 1 1 6
direct
0.250 0.750 0.500
0.750 0.250 0.500
0.000 0.000 0.000
0.500 0.500 0.000
0.195 0.680 0.876
0.267 0.267 0.000
0.320 0.195 0.515
0.680 0.805 0.485
0.733 0.733 0.000
0.805 0.320 0.124
```


# 6
# K2LiZnI6

An optimized crystal structure of K2LiZnI6 (GGA-PBE, OQMD).

Results
**Calculated volume**: 378.0 Å³ per cell
**E**: -2.320 eV per atom

Cell and atoms, written as POSCAR:
```
K2LiZnI6
1.0
-4.058 4.058 5.740
4.058 -4.058 5.740
4.058 4.058 -5.740
K Li Zn I
2 1 1 6
direct
0.250 0.750 0.500
0.750 0.250 0.500
0.000 0.000 0.000
0.500 0.500 0.000
0.247 0.740 0.988
0.253 0.253 0.000
0.260 0.247 0.507
0.740 0.753 0.493
0.747 0.747 0.000
0.753 0.260 0.012
```


# 7
# KNd4IO6

An optimized crystal structure of KNd4IO6 (GGA-PBE, OQMD).

Results
**Calculated volume**: 357.2 Å³ per cell
**E**: -6.520 eV per atom

Cell and atoms, written as POSCAR:
```
KNd4IO6
1.0
6.836 0.000 0.000
-3.418 5.920 0.000
0.000 0.000 8.827
K Nd I O
1 4 1 6
direct
0.000 0.000 0.000
0.333 0.667 0.266
0.333 0.667 0.734
0.667 0.333 0.266
0.667 0.333 0.734
0.000 0.000 0.500
0.000 0.500 0.179
0.000 0.500 0.821
0.500 0.000 0.179
0.500 0.000 0.821
0.500 0.500 0.179
0.500 0.500 0.821
```


# 8
# K2ScNiI6

An optimized crystal structure of K2ScNiI6 (GGA-PBE, OQMD).

Results
**Calculated volume**: 374.0 Å³ per cell
**E**: -3.276 eV per atom

Cell and atoms, written as POSCAR:
```
K2ScNiI6
1.0
0.000 5.719 5.719
5.719 0.000 5.719
5.719 5.719 0.000
K Sc Ni I
2 1 1 6
direct
0.250 0.250 0.250
0.750 0.750 0.750
0.000 0.000 0.000
0.500 0.500 0.500
0.254 0.254 0.746
0.254 0.746 0.254
0.254 0.746 0.746
0.746 0.254 0.254
0.746 0.254 0.746
0.746 0.746 0.254
```


# 9
# K2NpI6

An optimized crystal structure of K2NpI6 (GGA-PBE, OQMD).

Results
**Calculated volume**: 956.8 Å³ per cell
**E**: -3.801 eV per atom

Cell and atoms, written as POSCAR:
```
K2NpI6
1.0
7.959 0.000 0.000
0.000 7.959 0.000
0.000 0.000 15.105
K Np I
4 2 12
direct
0.000 0.000 0.167
0.000 0.000 0.833
0.500 0.500 0.333
0.500 0.500 0.667
0.000 0.000 0.500
0.500 0.500 0.000
0.187 0.187 0.357
0.187 0.187 0.643
0.232 0.232 0.000
0.268 0.732 0.500
0.313 0.687 0.143
0.313 0.687 0.857
0.687 0.313 0.143
0.687 0.313 0.857
0.732 0.268 0.500
0.768 0.768 0.000
0.813 0.813 0.357
0.813 0.813 0.643
```


# 10
# KPaI6

An optimized crystal structure of KPaI6 (GGA-PBE, OQMD).

Results
**Calculated volume**: 413.2 Å³ per cell
**E**: -3.552 eV per atom

Cell and atoms, written as POSCAR:
```
KPaI6
1.0
5.077 -5.436 0.000
5.077 5.436 0.000
-3.244 0.000 7.485
K Pa I
1 1 6
direct
0.000 0.000 0.000
0.500 0.500 0.500
0.204 0.204 0.485
0.227 0.608 0.220
0.392 0.773 0.780
0.608 0.227 0.220
0.773 0.392 0.780
0.796 0.796 0.515
```


# 11
# K3PmI6

An optimized crystal structure of K3PmI6 (GGA-PBE, OQMD).

Results
**Calculated volume**: 945.9 Å³ per cell
**E**: -3.195 eV per atom

Cell and atoms, written as POSCAR:
```
K3PmI6
1.0
8.456 0.000 0.000
0.000 9.126 0.000
-8.192 0.000 12.256
K Pm I
6 2 12
direct
0.000 0.000 0.000
0.000 0.500 0.500
0.205 0.091 0.743
0.205 0.409 0.243
0.795 0.591 0.757
0.795 0.909 0.257
0.500 0.000 0.500
0.500 0.500 0.000
0.139 0.177 0.437
0.139 0.323 0.937
0.258 0.712 0.422
0.258 0.788 0.922
0.409 0.055 0.267
0.409 0.445 0.767
0.591 0.555 0.233
0.591 0.945 0.733
0.742 0.212 0.078
0.742 0.288 0.578
0.861 0.677 0.063
0.861 0.823 0.563
```


# 12
# K2PrI6

An optimized crystal structure of K2PrI6 (GGA-PBE, OQMD).

Results
**Calculated volume**: 850.2 Å³ per cell
**E**: -3.016 eV per atom

Cell and atoms, written as POSCAR:
```
K2PrI6
1.0
8.588 0.000 0.000
0.000 9.247 0.000
-7.981 0.000 10.706
K Pr I
4 2 12
direct
0.218 0.100 0.240
0.218 0.400 0.740
0.782 0.600 0.260
0.782 0.900 0.760
0.500 0.000 0.000
0.500 0.500 0.500
0.135 0.180 0.933
0.135 0.320 0.433
0.271 0.707 0.947
0.271 0.793 0.447
0.348 0.022 0.723
0.348 0.478 0.223
0.652 0.522 0.777
0.652 0.978 0.277
0.729 0.207 0.553
0.729 0.293 0.053
0.865 0.680 0.567
0.865 0.820 0.067
```